Record 1
A plane-wave DFT calculation with GGA-PBE was carried out for a relaxed structure of BaScGaCo2.

abc: 4.577 4.577 5.516
angles: 90.00 90.00 90.00
Element x y z (fractional)
Ba 0.000 0.000 0.000
Sc 0.500 0.500 0.000
Ga 0.000 0.000 0.500
Co 0.000 0.500 0.500
Co 0.500 0.000 0.500

Values from the calculation:
Crystal system = tetragonal
Energy of formation from the pure elements = 0.949 eV/atom
Raw total energy = -20.7 eV for the cell shown


Record 2
A plane-wave DFT calculation with GGA-PBE was carried out for a relaxed structure of KTe2Se.

abc: 6.381 6.381 6.381
angles: 143.17 124.56 68.43
Element x y z (fractional)
K 0.000 0.000 0.000
Te 0.304 0.804 0.500
Te 0.696 0.196 0.500
Se 0.500 0.500 0.000

Values from the calculation:
Crystal system = orthorhombic
Energy relative to the elements, uncorrected = -0.338 eV per atom
Raw total energy = -12.2 eV for the cell shown


Record 3
A plane-wave DFT calculation with GGA-PBE was carried out for a relaxed structure of AcLaSm2S4.

abc: 7.129 4.087 7.189
angles: 90.00 109.14 90.00
Element x y z (fractional)
Ac 0.000 0.000 0.000
La 0.500 0.500 0.000
Sm 0.000 0.500 0.500
Sm 0.500 0.000 0.500
S 0.249 0.000 0.736
S 0.260 0.500 0.268
S 0.740 0.500 0.732
S 0.751 0.000 0.264

Values from the calculation:
Crystal system = monoclinic
Energy relative to the elements, uncorrected = -2.048 eV per atom
Raw total energy = -51.4 eV for the cell shown


Record 4
A plane-wave DFT calculation with GGA-PBE was carried out for a relaxed structure of SbTe2O6.

abc: 7.730 7.730 5.703
angles: 90.18 90.18 77.81
Element x y z (fractional)
Sb 0.087 0.913 0.750
Sb 0.913 0.087 0.250
Te 0.170 0.367 0.832
Te 0.367 0.170 0.332
Te 0.633 0.830 0.668
Te 0.830 0.633 0.168
O 0.041 0.146 0.561
O 0.093 0.617 0.843
O 0.146 0.041 0.061
O 0.343 0.360 0.574
O 0.360 0.343 0.074
O 0.383 0.907 0.657
O 0.617 0.093 0.343
O 0.640 0.657 0.926
O 0.657 0.640 0.426
O 0.854 0.959 0.939
O 0.907 0.383 0.157
O 0.959 0.854 0.439

Values from the calculation:
Crystal system = monoclinic
Energy relative to the elements, uncorrected = -0.959 eV per atom
Polymorph energy (0 for the lowest one) = 0 meV/atom
Raw total energy = -97.6 eV for the cell shown


Record 5
A plane-wave DFT calculation with GGA-PBE was carried out for a relaxed structure of Dy15Tm4Mg.

abc: 4.970 4.970 24.896
angles: 90.00 90.00 90.00
Element x y z (fractional)
Dy 0.000 0.000 0.000
Dy 0.000 0.000 0.197
Dy 0.000 0.000 0.399
Dy 0.000 0.000 0.601
Dy 0.000 0.000 0.803
Dy 0.000 0.500 0.099
Dy 0.000 0.500 0.299
Dy 0.000 0.500 0.500
Dy 0.000 0.500 0.701
Dy 0.000 0.500 0.901
Dy 0.500 0.000 0.099
Dy 0.500 0.000 0.299
Dy 0.500 0.000 0.500
Dy 0.500 0.000 0.701
Dy 0.500 0.000 0.901
Tm 0.500 0.500 0.198
Tm 0.500 0.500 0.399
Tm 0.500 0.500 0.601
Tm 0.500 0.500 0.802
Mg 0.500 0.500 0.000

Values from the calculation:
Crystal system = tetragonal
Energy of formation from the pure elements = 0.019 eV/atom
Raw total energy = -88.1 eV for the cell shown


Record 6
A plane-wave DFT calculation with GGA-PBE was carried out for a relaxed structure of MgSb2Cl.

abc: 5.392 5.392 6.803
angles: 108.75 108.75 35.71
Element x y z (fractional)
Mg 0.000 0.000 0.000
Sb 0.485 0.485 0.596
Sb 0.684 0.684 0.388
Cl 0.321 0.321 0.981

Values from the calculation:
Crystal system = monoclinic
Energy relative to the elements, uncorrected = -0.477 eV per atom
Polymorph energy (0 for the lowest one) = 58 meV/atom
Raw total energy = -13.6 eV for the cell shown


Record 7
A plane-wave DFT calculation with GGA-PBE was carried out for a relaxed structure of CdHgSe2.

abc: 3.910 4.068 6.381
angles: 90.00 90.00 90.00
Element x y z (fractional)
Cd 0.000 0.000 0.000
Hg 0.500 0.500 0.000
Se 0.000 0.500 0.500
Se 0.500 0.000 0.500

Values from the calculation:
Crystal system = orthorhombic
Energy relative to the elements, uncorrected = 0.138 eV per atom
Polymorph energy (0 for the lowest one) = 556 meV/atom
Raw total energy = -7.6 eV for the cell shown


Record 8
A plane-wave DFT calculation with GGA-PBE was carried out for a relaxed structure of NaInIBr.

abc: 4.472 4.472 8.742
angles: 104.89 104.89 59.98
Element x y z (fractional)
Na 0.000 0.000 0.000
In 0.156 0.156 0.468
I 0.580 0.580 0.737
Br 0.733 0.733 0.200

Values from the calculation:
Crystal system = monoclinic
Energy relative to the elements, uncorrected = -0.924 eV per atom
Polymorph energy (0 for the lowest one) = 0 meV/atom
Raw total energy = -11.0 eV for the cell shown


Record 9
A plane-wave DFT calculation with GGA-PBE was carried out for a relaxed structure of SmTm2Sn.

abc: 12.029 12.029 12.029
angles: 16.70 16.70 16.70
Element x y z (fractional)
Sm 0.000 0.000 0.000
Tm 0.413 0.413 0.413
Tm 0.587 0.587 0.587
Sn 0.500 0.500 0.500

Values from the calculation:
Crystal system = trigonal
Polymorph energy (0 for the lowest one) = 475 meV/atom
Energy of formation from the pure elements = 0.056 eV/atom
Raw total energy = -17.4 eV for the cell shown